# 1
PtPb3 | the Alexandria database | GGA-PBE | optimized geometry; polymorph energy (0 for the lowest one) = 108 meV per atom; E = -4.3238 eV per atom; formation energy = -0.032 eV/atom; crystal system = orthorhombic; SG = No. 71; theoretical density = 12.4 g/cm3; total magnetization = 0.000 Bohr magnetons per cell
1.0
-1.7760 2.5058 6.1275
1.7760 -2.5058 6.1275
1.7760 2.5058 -6.1275
Pt Pb
1 3
Direct
0.0000 0.0000 0.0000
0.1902 0.6902 0.5000
0.5000 0.5000 0.0000
0.8098 0.3098 0.5000

# 2
Pt3Pb5 | the Alexandria database | GGA-PBE | optimized geometry; E = -4.6787 eV per atom; formation energy = -0.096 eV/atom; crystal system = hexagonal; SG = No. 193; theoretical density = 13.7 g/cm3; total magnetization = 0.000 Bohr magnetons per cell
1.0
8.4871 0.0000 0.0000
-4.2436 7.3501 0.0000
0.0000 0.0000 6.3159
Pt Pb
6 10
Direct
0.0000 0.3823 0.2500
0.0000 0.6177 0.7500
0.3823 0.0000 0.2500
0.3823 0.3823 0.7500
0.6177 0.0000 0.7500
0.6177 0.6177 0.2500
0.0000 0.2703 0.7500
0.0000 0.7297 0.2500
0.2703 0.0000 0.7500
0.2703 0.2703 0.2500
0.3333 0.6667 0.0000
0.3333 0.6667 0.5000
0.6667 0.3333 0.0000
0.6667 0.3333 0.5000
0.7297 0.0000 0.2500
0.7297 0.7297 0.7500

# 3
Pt5Pb | the Alexandria database | GGA-PBE | optimized geometry; E = -5.6699 eV per atom; formation energy = -0.018 eV/atom; crystal system = orthorhombic; SG = No. 65; theoretical density = 19.3 g/cm3; total magnetization = 0.000 Bohr magnetons per cell
1.0
2.0849 -6.1332 0.0000
2.0849 6.1332 0.0000
0.0000 0.0000 3.9754
Pt Pb
5 1
Direct
0.0000 0.0000 0.0000
0.1674 0.8326 0.5000
0.3279 0.6721 0.0000
0.6721 0.3279 0.0000
0.8326 0.1674 0.5000
0.5000 0.5000 0.5000

# 4
Pt5Pb | the Alexandria database | GGA-PBE | optimized geometry; E = -5.5936 eV per atom; formation energy = 0.058 eV/atom; crystal system = tetragonal; SG = No. 123; theoretical density = 18.8 g/cm3; total magnetization = 0.000 Bohr magnetons per cell
1.0
3.4252 0.0000 0.0000
0.0000 3.4252 0.0000
0.0000 0.0000 8.8875
Pt Pb
5 1
Direct
0.0000 0.0000 0.0000
0.0000 0.0000 0.3112
0.0000 0.0000 0.6888
0.5000 0.5000 0.1547
0.5000 0.5000 0.8453
0.5000 0.5000 0.5000

# 5
Pt6Pb7 | the Alexandria database | GGA-PBE | optimized geometry; E = -4.4003 eV per atom; formation energy = 0.385 eV/atom; crystal system = trigonal; SG = No. 166; theoretical density = 12.6 g/cm3; total magnetization = 0.000 Bohr magnetons per cell
1.0
3.5368 2.0420 7.9465
-3.5368 2.0420 7.9465
0.0000 -4.0840 7.9465
Pt Pb
6 7
Direct
0.0551 0.0551 0.0551
0.1661 0.1661 0.1661
0.3400 0.3400 0.3400
0.6600 0.6600 0.6600
0.8339 0.8339 0.8339
0.9449 0.9449 0.9449
0.0531 0.5914 0.5914
0.4086 0.4086 0.9469
0.4086 0.9469 0.4086
0.5000 0.5000 0.5000
0.5914 0.0531 0.5914
0.5914 0.5914 0.0531
0.9469 0.4086 0.4086

# 6
Pt3Pb4 | the Alexandria database | GGA-PBE | optimized geometry; E = -4.8970 eV per atom; formation energy = -0.189 eV/atom; crystal system = monoclinic; SG = No. 12; theoretical density = 13.5 g/cm3; total magnetization = 0.000 Bohr magnetons per cell
1.0
6.8652 -2.0819 0.0000
6.8652 2.0819 0.0000
-3.5998 0.0000 6.1006
Pt Pb
3 4
Direct
0.0000 0.0000 0.0000
0.2406 0.2406 0.2494
0.7594 0.7594 0.7506
0.1193 0.1193 0.4771
0.3796 0.3796 0.0665
0.6204 0.6204 0.9335
0.8807 0.8807 0.5229

# 7
Pu2PtPb | the Alexandria database | GGA-PBE | optimized geometry; E = -9.9375 eV per atom; formation energy = -0.334 eV/atom; crystal system = trigonal; SG = No. 166; theoretical density = 13.2 g/cm3; total magnetization = 11.166 Bohr magnetons per cell
1.0
1.9349 1.1171 8.6081
-1.9349 1.1171 8.6081
0.0000 -2.2342 8.6081
Pu Pt Pb
2 1 1
Direct
0.2359 0.2359 0.2359
0.7641 0.7641 0.7641
0.5000 0.5000 0.5000
0.0000 0.0000 0.0000

# 8
Pu2PtPb | the Alexandria database | GGA-PBE | optimized geometry; E = -10.0736 eV per atom; formation energy = -0.470 eV/atom; crystal system = tetragonal; SG = No. 123; theoretical density = 14.8 g/cm3; total magnetization = 11.046 Bohr magnetons per cell
1.0
3.4993 0.0000 0.0000
0.0000 3.4993 0.0000
0.0000 0.0000 8.1665
Pu Pt Pb
2 1 1
Direct
0.0000 0.0000 0.2107
0.0000 0.0000 0.7893
0.5000 0.5000 0.0000
0.5000 0.5000 0.5000

# 9
Pu2PtPb | the Alexandria database | GGA-PBE | optimized geometry; E = -10.0043 eV per atom; formation energy = -0.401 eV/atom; crystal system = tetragonal; SG = No. 123; theoretical density = 15.2 g/cm3; total magnetization = 11.125 Bohr magnetons per cell
1.0
3.8410 0.0000 0.0000
0.0000 3.8410 0.0000
0.0000 0.0000 6.6006
Pu Pt Pb
2 1 1
Direct
0.0000 0.0000 0.2201
0.0000 0.0000 0.7799
0.5000 0.5000 0.0000
0.5000 0.5000 0.5000

# 10
Pu12Pt5Pb | the Alexandria database | GGA-PBE | optimized geometry; E = -11.7739 eV per atom; formation energy = -0.335 eV/atom; crystal system = orthorhombic; SG = No. 71; theoretical density = 15.2 g/cm3; total magnetization = 24.711 Bohr magnetons per cell
1.0
-4.3365 4.6140 5.6123
4.3365 -4.6140 5.6123
4.3365 4.6140 -5.6123
Pu Pt Pb
12 5 1
Direct
0.0277 0.8208 0.2069
0.2349 0.5472 0.3124
0.2349 0.9225 0.6876
0.2825 0.3145 0.5970
0.2825 0.6855 0.9680
0.3861 0.1792 0.2069
0.6139 0.8208 0.7931
0.7175 0.3145 0.0320
0.7175 0.6855 0.4030
0.7651 0.0775 0.3124
0.7651 0.4528 0.6876
0.9723 0.1792 0.7931
0.0000 0.1583 0.1583
0.0000 0.5000 0.5000
0.0000 0.8417 0.8417
0.3691 0.3691 0.0000
0.6309 0.6309 0.0000
0.5000 0.0000 0.5000

# 11
Pu3PtPb | the Alexandria database | GGA-PBE | optimized geometry; E = -10.8144 eV per atom; formation energy = -0.265 eV/atom; crystal system = cubic; SG = No. 221; theoretical density = 14.7 g/cm3; total magnetization = 52.054 Bohr magnetons per cell
1.0
7.2657 0.0000 0.0000
0.0000 7.2657 0.0000
0.0000 0.0000 7.2657
Pu Pt Pb
9 3 3
Direct
0.0000 0.0000 0.0000
0.2775 0.2775 0.2775
0.2775 0.2775 0.7225
0.2775 0.7225 0.2775
0.2775 0.7225 0.7225
0.7225 0.2775 0.2775
0.7225 0.2775 0.7225
0.7225 0.7225 0.2775
0.7225 0.7225 0.7225
0.0000 0.5000 0.5000
0.5000 0.0000 0.5000
0.5000 0.5000 0.0000
0.0000 0.0000 0.5000
0.0000 0.5000 0.0000
0.5000 0.0000 0.0000

# 12
Pu11Pt4Pb9 | the Alexandria database | GGA-PBE | optimized geometry; E = -9.3206 eV per atom; formation energy = -0.354 eV/atom; crystal system = orthorhombic; SG = No. 65; theoretical density = 14.1 g/cm3; total magnetization = 50.351 Bohr magnetons per cell
1.0
7.4720 -11.2633 0.0000
7.4720 11.2633 0.0000
0.0000 0.0000 3.7328
Pu Pt Pb
11 4 9
Direct
0.0000 0.0000 0.0000
0.0701 0.4146 0.0000
0.1554 0.8446 0.0000
0.3101 0.3101 0.0000
0.3719 0.6281 0.0000
0.4146 0.0701 0.0000
0.5854 0.9299 0.0000
0.6281 0.3719 0.0000
0.6899 0.6899 0.0000
0.8446 0.1554 0.0000
0.9299 0.5854 0.0000
0.2498 0.4507 0.5000
0.4507 0.2498 0.5000
0.5493 0.7502 0.5000
0.7502 0.5493 0.5000
0.0722 0.2176 0.5000
0.1535 0.6334 0.5000
0.2176 0.0722 0.5000
0.3666 0.8465 0.5000
0.5000 0.5000 0.5000
0.6334 0.1535 0.5000
0.7824 0.9278 0.5000
0.8465 0.3666 0.5000
0.9278 0.7824 0.5000

Q: Which formula does entry 3 have?
A: Pt5Pb

Copy entry 2 word for word.
Pt3Pb5 | the Alexandria database | GGA-PBE | optimized geometry; E = -4.6787 eV per atom; formation energy = -0.096 eV/atom; crystal system = hexagonal; SG = No. 193; theoretical density = 13.7 g/cm3; total magnetization = 0.000 Bohr magnetons per cell
1.0
8.4871 0.0000 0.0000
-4.2436 7.3501 0.0000
0.0000 0.0000 6.3159
Pt Pb
6 10
Direct
0.0000 0.3823 0.2500
0.0000 0.6177 0.7500
0.3823 0.0000 0.2500
0.3823 0.3823 0.7500
0.6177 0.0000 0.7500
0.6177 0.6177 0.2500
0.0000 0.2703 0.7500
0.0000 0.7297 0.2500
0.2703 0.0000 0.7500
0.2703 0.2703 0.2500
0.3333 0.6667 0.0000
0.3333 0.6667 0.5000
0.6667 0.3333 0.0000
0.6667 0.3333 0.5000
0.7297 0.0000 0.2500
0.7297 0.7297 0.7500